Record 1
Entry from Alexandria via LeMat-Bulk: a relaxed structure of Nb3InPb (PBE-GGA).

space group: Pm-3m, No. 221

Lattice parameters (Å, degrees): 5.0634 5.0634 5.0634 90.00 90.00 90.00
Sites, in units of the cell vectors:
1 Nb 0.0000 0.0000 0.5000
2 Nb 0.0000 0.5000 0.0000
3 Nb 0.5000 0.0000 0.0000
4 In 0.0000 0.0000 0.0000
5 Pb 0.5000 0.5000 0.5000


Record 2
Entry from Alexandria via LeMat-Bulk: a relaxed structure of NbIn3Pb (PBE-GGA).

space group: Pm-3m, No. 221

Lattice parameters (Å, degrees): 5.7038 5.7038 5.7038 90.00 90.00 90.00
Sites, in units of the cell vectors:
1 Nb 0.0000 0.0000 0.0000
2 In 0.0000 0.5000 0.5000
3 In 0.5000 0.0000 0.5000
4 In 0.5000 0.5000 0.0000
5 Pb 0.5000 0.5000 0.5000


Record 3
Entry from Alexandria via LeMat-Bulk: a relaxed structure of NbInPb3 (PBE-GGA).

space group: Pm-3m, No. 221

Lattice parameters (Å, degrees): 5.6048 5.6048 5.6048 90.00 90.00 90.00
Sites, in units of the cell vectors:
1 Nb 0.0000 0.0000 0.0000
2 In 0.5000 0.5000 0.5000
3 Pb 0.0000 0.5000 0.5000
4 Pb 0.5000 0.0000 0.5000
5 Pb 0.5000 0.5000 0.0000


Record 4
Entry from Alexandria via LeMat-Bulk: a relaxed structure of NbIn3Pb (PBE-GGA).

space group: Pm-3m, No. 221

Lattice parameters (Å, degrees): 5.4110 5.4110 5.4110 90.00 90.00 90.00
Sites, in units of the cell vectors:
1 Nb 0.0000 0.0000 0.0000
2 In 0.0000 0.0000 0.5000
3 In 0.0000 0.5000 0.0000
4 In 0.5000 0.0000 0.0000
5 Pb 0.5000 0.5000 0.5000


Ordered polymorph energy (0 for the lowest one) results: 0 828 1008 0; unit meV/atom.
Ordered ΔE_f results: 778 646 677 247; unit kJ/mol of formula units.
Ordered DFT total energy results: -5.72 -3.06 -3.38 -3.89; unit eV per atom.